Below is a relaxed structure of Sm2Y4Er5, with properties calculated at the PBE level.

Its formation energy from the elements is 56.2 meV per atom. Its distance to the lowest polymorph of the same formula is 0.000 eV/atom.

```
11
Lattice="-0.706 -2.421 -2.657 9.398 -0.536 3.042 -9.542 -6.112 5.587" Properties=species:S:1:pos:R:3 pbc="T T T"
Sm -5.389 -7.003 2.768
Sm 4.539 -2.067 3.206
Y 0.183 -4.145 1.207
Y 2.543 -1.318 0.526
Y -1.033 -4.924 4.766
Y -3.394 -7.752 5.448
Er -2.519 -3.702 -1.006
Er 1.669 -5.367 6.980
Er 2.608 -4.892 3.771
Er -0.353 -1.211 -1.328
Er -3.458 -4.178 2.203
```

---

Below is a relaxed structure of Ce2Dy2SiIr4, with properties calculated at the PBE level.

The formation energy without anion corrections is -10.17 kcal/mol of atoms.

```
9
Lattice="-1.589 1.934 -5.935 -4.481 -2.099 4.123 1.852 4.231 4.490" Properties=species:S:1:pos:R:3 pbc="T T T"
Ce -1.823 1.478 5.971
Ce -0.806 0.654 2.641
Dy -3.692 0.450 1.247
Dy -0.526 3.615 1.430
Si 0.000 0.000 0.000
Ir -2.831 -0.450 4.218
Ir -2.705 2.502 3.526
Ir 0.202 2.581 4.394
Ir -1.513 1.563 -0.849
```

---

Below is a relaxed structure of Na2NdInSe4, with properties calculated at the PBE level.

The formation energy without anion corrections is -27.86 kcal/mol of atoms.

```
8
Lattice="-4.110 0.499 0.342 -0.662 -6.870 2.076 1.025 4.290 6.054" Properties=species:S:1:pos:R:3 pbc="T T T"
Na -1.542 2.395 3.198
Na 0.182 -1.290 4.065
Nd -2.386 -3.185 1.209
In 0.000 0.000 0.000
Se -1.974 -0.331 1.996
Se -1.773 -1.750 6.477
Se 0.617 1.568 5.131
Se -0.254 -4.147 3.000
```

---

Below is a relaxed structure of Li2NpSc2Se6, with properties calculated at the PBE level.

The formation energy without anion corrections is -32.92 kcal/mol of atoms.

```
11
Lattice="6.830 -0.036 0.077 -3.407 5.920 0.077 -1.219 -2.095 6.405" Properties=species:S:1:pos:R:3 pbc="T T T"
Li 5.126 0.956 0.077
Li -1.703 4.928 0.077
Np -0.610 -1.048 3.203
Sc -0.601 2.885 3.280
Sc 2.805 0.903 3.280
Se 1.628 2.798 4.873
Se -1.817 0.940 4.793
Se 0.576 0.990 1.687
Se 1.716 -1.115 4.793
Se 4.021 2.848 1.767
Se 0.488 4.903 1.767
```

---

Below is a relaxed structure of Ni3MoPb, with properties calculated at the PBE level.

Its formation energy from the elements is 1062.3 meV per atom. Its distance to the lowest polymorph of the same formula is 0.000 eV/atom.

```
5
Lattice="-3.198 1.453 2.953 -0.840 -4.341 1.226 3.182 0.314 3.291" Properties=species:S:1:pos:R:3 pbc="T T T"
Pb -0.428 -1.287 3.735
Ni -0.420 -2.171 0.613
Ni 1.591 0.157 1.646
Ni -1.599 0.726 1.476
Mo 0.000 0.000 0.000
```

---

no.,volume (Å³/atom)
1,32.05
2,20.65
3,26.51
4,23.67
5,19.32